A plane-wave DFT calculation with PBE-GGA was carried out for crystalline OsCl4O at its relaxed geometry.

Calculated values
spin magnetization: 0.01 Bohr magnetons per cell
crystal system: monoclinic

CIF file:
```
data_OsCl4O
_space_group_name_H-M_alt 'P 1 21/c 1'
_space_group_IT_number 14
_space_group_name_Hall '-P 2ybc'
_cell_length_a 9.5926
_cell_length_b 5.6995
_cell_length_c 12.0717
_cell_angle_alpha 90.00
_cell_angle_beta 110.23
_cell_angle_gamma 90.00
loop_
_atom_site_label
_atom_site_type_symbol
_atom_site_fract_x
_atom_site_fract_y
_atom_site_fract_z
Os1 Os 0.2288 0.1106 0.4701
Cl1 Cl 0.1072 0.6742 0.8403
Cl2 Cl 0.2705 0.6797 0.1070
Cl3 Cl 0.2972 0.2468 0.3199
Cl4 Cl 0.4538 0.2499 0.0870
O1 O 0.0997 0.2072 0.9863
```

=====

A plane-wave DFT calculation with PBE-GGA was carried out for crystalline Pr4PClO8 at its relaxed geometry.

Calculated values
spin magnetization: 0.01 Bohr magnetons per cell
crystal system: orthorhombic

CIF file:
```
data_Pr4PClO8
_space_group_name_H-M_alt 'P m n 21'
_space_group_IT_number 31
_space_group_name_Hall 'P 2ac -2'
_cell_length_a 13.0469
_cell_length_b 5.8676
_cell_length_c 5.8142
_cell_angle_alpha 90.00
_cell_angle_beta 90.00
_cell_angle_gamma 90.00
loop_
_atom_site_label
_atom_site_type_symbol
_atom_site_fract_x
_atom_site_fract_y
_atom_site_fract_z
Pr1 Pr 0.1606 0.0177 0.0000
Pr2 Pr 0.1670 0.4881 0.5300
P1 P 0.0000 0.5403 0.0570
Cl1 Cl 0.0000 0.0499 0.5645
O1 O 0.0000 0.4991 0.3215
O2 O 0.0000 0.8018 0.0163
O3 O 0.0960 0.4324 0.9464
O4 O 0.2307 0.7570 0.2620
O5 O 0.2500 0.2419 0.2686
```

=====

A plane-wave DFT calculation with PBE-GGA was carried out for crystalline RePCl8O at its relaxed geometry.

Calculated values
spin magnetization: 8.51 Bohr magnetons per cell
crystal system: orthorhombic

CIF file:
```
data_RePCl8O
_space_group_name_H-M_alt 'P n m a'
_space_group_IT_number 62
_space_group_name_Hall '-P 2ac 2n'
_cell_length_a 16.6708
_cell_length_b 8.1148
_cell_length_c 8.9968
_cell_angle_alpha 90.00
_cell_angle_beta 90.00
_cell_angle_gamma 90.00
loop_
_atom_site_label
_atom_site_type_symbol
_atom_site_fract_x
_atom_site_fract_y
_atom_site_fract_z
Re1 Re 0.1470 0.2500 0.0779
P1 P 0.0760 0.2500 0.7148
Cl1 Cl 0.0295 0.2500 0.2148
Cl2 Cl 0.0343 0.7500 0.3659
Cl3 Cl 0.1307 0.0549 0.6303
Cl4 Cl 0.1404 0.5309 0.0559
Cl5 Cl 0.2237 0.2500 0.2839
Cl6 Cl 0.2395 0.7500 0.4239
O1 O 0.0726 0.2500 0.8812
```

=====

A plane-wave DFT calculation with PBE-GGA was carried out for crystalline PaCl3O at its relaxed geometry.

Calculated values
spin magnetization: 0.00 Bohr magnetons per cell
crystal system: orthorhombic

CIF file:
```
data_PaCl3O
_space_group_name_H-M_alt 'I m m a'
_space_group_IT_number 74
_space_group_name_Hall '-I 2b 2'
_cell_length_a 7.5268
_cell_length_b 10.0101
_cell_length_c 8.0727
_cell_angle_alpha 90.00
_cell_angle_beta 90.00
_cell_angle_gamma 90.00
loop_
_atom_site_label
_atom_site_type_symbol
_atom_site_fract_x
_atom_site_fract_y
_atom_site_fract_z
Pa1 Pa 0.2500 0.2500 0.2500
Cl1 Cl 0.0000 0.2500 0.0020
Cl2 Cl 0.2500 0.0046 0.7500
O1 O 0.0000 0.2500 0.3695
```

=====

A plane-wave DFT calculation with PBE-GGA was carried out for crystalline Pd2Cl2O at its relaxed geometry.

Calculated values
crystal system: orthorhombic

CIF file:
```
data_Pd2Cl2O
_space_group_name_H-M_alt 'F d d d'
_space_group_IT_number 70
_cell_length_a 8.4692
_cell_length_b 9.6104
_cell_length_c 10.0057
_cell_angle_alpha 90.00
_cell_angle_beta 90.00
_cell_angle_gamma 90.00
loop_
_space_group_symop_operation_xyz
'x,y,z'
'-x,-y,-z'
'-x+1/4,-y+1/4,z'
'x+1/4,y+1/4,-z'
'x,-y+1/4,-z+1/4'
'-x,y+1/4,z+1/4'
'-x+1/4,y,-z+1/4'
'x+1/4,-y,z+1/4'
'x,y+1/2,z+1/2'
'-x,-y+1/2,-z+1/2'
'-x+1/4,-y+3/4,z+1/2'
'x+1/4,y+3/4,-z+1/2'
'x,-y+3/4,-z+3/4'
'-x,y+3/4,z+3/4'
'-x+1/4,y+1/2,-z+3/4'
'x+1/4,-y+1/2,z+3/4'
'x+1/2,y,z+1/2'
'-x+1/2,-y,-z+1/2'
'-x+3/4,-y+1/4,z+1/2'
'x+3/4,y+1/4,-z+1/2'
'x+1/2,-y+1/4,-z+3/4'
'-x+1/2,y+1/4,z+3/4'
'-x+3/4,y,-z+3/4'
'x+3/4,-y,z+3/4'
'x+1/2,y+1/2,z'
'-x+1/2,-y+1/2,-z'
'-x+3/4,-y+3/4,z'
'x+3/4,y+3/4,-z'
'x+1/2,-y+3/4,-z+1/4'
'-x+1/2,y+3/4,z+1/4'
'-x+3/4,y+1/2,-z+1/4'
'x+3/4,-y+1/2,z+1/4'
loop_
_atom_site_label
_atom_site_type_symbol
_atom_site_fract_x
_atom_site_fract_y
_atom_site_fract_z
Pd1 Pd 0.0000 0.0000 0.0000
Cl1 Cl 0.1250 0.1250 0.4223
O1 O 0.1250 0.1250 0.1250
```

=====

A plane-wave DFT calculation with PBE-GGA was carried out for crystalline PdCl2O6 at its relaxed geometry.

Calculated values
crystal system: triclinic

CIF file:
```
data_PdCl2O6
_space_group_name_H-M_alt 'P -1'
_space_group_IT_number 2
_space_group_name_Hall '-P 1'
_cell_length_a 3.5400
_cell_length_b 6.2866
_cell_length_c 6.3589
_cell_angle_alpha 114.46
_cell_angle_beta 90.04
_cell_angle_gamma 95.02
loop_
_atom_site_label
_atom_site_type_symbol
_atom_site_fract_x
_atom_site_fract_y
_atom_site_fract_z
Pd1 Pd 0.0000 0.0000 0.0000
Cl1 Cl 0.4623 0.8965 0.1994
O1 O 0.0206 0.6990 0.3787
O2 O 0.1068 0.5057 0.7652
O3 O 0.1220 0.3216 0.2526
```

=====

| no. | final energy (Ha/atom) |
| --- | --- |
| 1 | -0.162 |
| 2 | -0.287 |
| 3 | -0.155 |
| 4 | -0.215 |
| 5 | -0.155 |
| 6 | -0.152 |